(1)
Entry from the Alexandria database: a geometry-optimized GaAgP2S structure (PBE).

Computed properties:
Formation energy from raw total energies = 0.99 eV per atom
Space group = P4/mmm
Energy above the lowest structure with this stoichiometry = 144 meV per atom

a b c (Å): 4.839 4.839 5.037
angles (deg): 90.00 90.00 90.00
Positions (direct):
P (0.000, 0.500, 0.000)
P (0.500, 0.000, 0.000)
S (0.000, 0.000, 0.500)
Ga (0.500, 0.500, 0.500)
Ag (0.000, 0.000, 0.000)


(2)
Entry from the Alexandria database: a geometry-optimized GaAgP2S structure (PBE).

Computed properties:
Formation energy from raw total energies = 0.85 eV per atom
Space group = P4/mmm
Energy above the lowest structure with this stoichiometry = 0 meV per atom

a b c (Å): 4.708 4.708 4.789
angles (deg): 90.00 90.00 90.00
Positions (direct):
P (0.000, 0.500, 0.000)
P (0.500, 0.000, 0.000)
S (0.000, 0.000, 0.500)
Ga (0.000, 0.000, 0.000)
Ag (0.500, 0.500, 0.500)


(3)
Entry from the Alexandria database: a geometry-optimized GaAgPS2 structure (PBE).

Computed properties:
Formation energy from raw total energies = 0.81 eV per atom
Space group = P4/mmm
Energy above the lowest structure with this stoichiometry = 152 meV per atom

a b c (Å): 4.976 4.976 4.790
angles (deg): 90.00 90.00 90.00
Positions (direct):
P (0.000, 0.000, 0.500)
S (0.000, 0.500, 0.000)
S (0.500, 0.000, 0.000)
Ga (0.500, 0.500, 0.500)
Ag (0.000, 0.000, 0.000)


(4)
Entry from the Alexandria database: a geometry-optimized PaGa2Ag structure (PBE).

Computed properties:
Space group = P4/mmm
Calculated formation energy = -0.11 eV per atom
Energy above the lowest structure with this stoichiometry = 17 meV per atom

a b c (Å): 3.235 3.235 7.466
angles (deg): 90.00 90.00 90.00
Positions (direct):
Pa (0.500, 0.500, 0.500)
Ga (0.000, 0.000, 0.775)
Ga (0.000, 0.000, 0.225)
Ag (0.500, 0.500, 0.000)


(5)
Entry from the Alexandria database: a geometry-optimized PaGaAg2 structure (PBE).

Computed properties:
Space group = R-3m
Calculated formation energy = 0.26 eV per atom
Energy above the lowest structure with this stoichiometry = 197 meV per atom

a b c (Å): 2.963 2.963 11.075
angles (deg): 82.31 82.31 60.00
Positions (direct):
Pa (0.000, 0.000, 0.000)
Ga (0.500, 0.500, 0.500)
Ag (0.095, 0.095, 0.715)
Ag (0.905, 0.905, 0.285)


(6)
Entry from the Alexandria database: a geometry-optimized PaGa2Ag structure (PBE).

Computed properties:
Space group = Fm-3m
Calculated formation energy = -0.10 eV per atom
Energy above the lowest structure with this stoichiometry = 26 meV per atom

a b c (Å): 4.842 4.842 4.842
angles (deg): 60.00 60.00 60.00
Positions (direct):
Pa (0.000, 0.000, 0.000)
Ga (0.250, 0.250, 0.250)
Ga (0.750, 0.750, 0.750)
Ag (0.500, 0.500, 0.500)


(7)
Entry from the Alexandria database: a geometry-optimized PaGa2Ag structure (PBE).

Computed properties:
Space group = R-3m
Calculated formation energy = -0.13 eV per atom
Energy above the lowest structure with this stoichiometry = 0 meV per atom

a b c (Å): 4.361 4.361 5.547
angles (deg): 66.85 66.85 60.00
Positions (direct):
Pa (0.000, 0.000, 0.000)
Ga (0.774, 0.774, 0.678)
Ga (0.226, 0.226, 0.322)
Ag (0.500, 0.500, 0.500)


(8)
Entry from the Alexandria database: a geometry-optimized Pa2Ga9Ag structure (PBE).

Computed properties:
Space group = P4/mmm
Calculated formation energy = -0.22 eV per atom

a b c (Å): 4.307 4.307 12.404
angles (deg): 90.00 90.00 90.00
Positions (direct):
Pa (0.000, 0.000, 0.328)
Pa (0.000, 0.000, 0.672)
Ga (0.500, 0.500, 0.000)
Ga (0.500, 0.500, 0.339)
Ga (0.500, 0.500, 0.661)
Ga (0.500, 0.000, 0.152)
Ga (0.500, 0.000, 0.500)
Ga (0.500, 0.000, 0.848)
Ga (0.000, 0.500, 0.152)
Ga (0.000, 0.500, 0.500)
Ga (0.000, 0.500, 0.848)
Ag (0.000, 0.000, 0.000)


Please write out number 8 again, unchanged.
Entry from the Alexandria database: a geometry-optimized Pa2Ga9Ag structure (PBE).

Computed properties:
Space group = P4/mmm
Calculated formation energy = -0.22 eV per atom

a b c (Å): 4.307 4.307 12.404
angles (deg): 90.00 90.00 90.00
Positions (direct):
Pa (0.000, 0.000, 0.328)
Pa (0.000, 0.000, 0.672)
Ga (0.500, 0.500, 0.000)
Ga (0.500, 0.500, 0.339)
Ga (0.500, 0.500, 0.661)
Ga (0.500, 0.000, 0.152)
Ga (0.500, 0.000, 0.500)
Ga (0.500, 0.000, 0.848)
Ga (0.000, 0.500, 0.152)
Ga (0.000, 0.500, 0.500)
Ga (0.000, 0.500, 0.848)
Ag (0.000, 0.000, 0.000)